This record from Alexandria describes an optimized crystal structure of Li5Fe2Co5O12. The functional is PBE with a Hubbard U.

Properties
**Final energy**: -5.713 eV per atom

a = 5.0567 Å, b = 5.0567 Å, c = 9.5452 Å
α = 94.85°, β = 94.85°, γ = 120.25°
Sites, in units of the cell vectors:
Li 0.0000 0.0000 0.0000
Li 0.0836 0.4188 0.2479
Li 0.2487 0.2512 0.7530
Li 0.5812 0.9164 0.7521
Li 0.7488 0.7513 0.2470
Fe 0.1626 0.8374 0.5000
Fe 0.6623 0.3377 0.0000
Co 0.3294 0.6706 0.0000
Co 0.4102 0.0833 0.2465
Co 0.4964 0.5036 0.5000
Co 0.8300 0.1700 0.5000
Co 0.9167 0.5898 0.7535
O 0.0795 0.7232 0.1229
O 0.1345 0.1107 0.3738
O 0.1890 0.5624 0.6246
O 0.2768 0.9205 0.8771
O 0.3911 0.3754 0.1182
O 0.4376 0.8110 0.3754
O 0.5470 0.2212 0.6292
O 0.6246 0.6089 0.8818
O 0.6686 0.0382 0.1185
O 0.7788 0.4530 0.3708
O 0.8893 0.8655 0.6262
O 0.9618 0.3314 0.8815